A plane-wave DFT calculation with GGA+U was carried out for a relaxed structure of SrCoSb2O8.

Values from the calculation:
Density of states at the Fermi level = 1.14 states/eV/f.u.
V = 158.9 Å³/cell
Calculated total energy = -70.91 eV/cell
Space group = No. 10

a = 5.039 Å, b = 4.973 Å, c = 6.388 Å
α = 90.00°, β = 90.00°, γ = 83.05°
Site moments in Bohr magnetons follow the coordinates.
Sites, in units of the cell vectors:
Sr  0.000  0.000  0.500  0.00
Co  0.000  0.000  0.000  2.23
Sb  0.500  0.500  0.761  0.00
Sb  0.500  0.500  0.239  0.00
O  0.181  0.781  0.204  0.10
O  0.670  0.697  0.000  0.13
O  0.819  0.219  0.204  0.10
O  0.819  0.219  0.796  0.10
O  0.330  0.303  0.000  0.13
O  0.181  0.781  0.796  0.10
O  0.649  0.682  0.500  0.00
O  0.351  0.318  0.500  0.00